A plane-wave DFT calculation with PBE-GGA was carried out for a relaxed structure of OsPdS2.

a = 7.4444 Å, b = 7.4444 Å, c = 7.4444 Å
α = 26.75°, β = 26.75°, γ = 26.75°
Closest atoms and distances in Å follow each position.
Fractional coordinates of all 4 atoms:
Os 0.0000 0.0000 0.0000  6 S 2.37
Pd 0.5000 0.5000 0.5000  2 S 2.29
S 0.3934 0.3934 0.3934  1 Pd 2.29, 3 Os 2.37
S 0.6066 0.6066 0.6066  1 Pd 2.29, 3 Os 2.37

## Properties
Its symmetry is R-3m. The offset from the most stable computed form is 25 meV/atom. The calculation puts the uncorrected formation energy at 0.0219 eV per atom.

A plane-wave DFT calculation with PBE-GGA was carried out for a relaxed structure of Ho6GaSe3S2.

a = 6.9250 Å, b = 6.9250 Å, c = 7.0467 Å
α = 99.43°, β = 99.43°, γ = 119.79°
Closest atoms and distances in Å follow each position.
Fractional coordinates of all 12 atoms:
Ho 0.0885 0.4224 0.7667  2 S 2.78-2.79, 1 Ga 2.79, 3 Se 2.91-2.92
Ho 0.2438 0.2438 0.2324  2 S 2.78, 1 Ga 2.78, 3 Se 2.92
Ho 0.4224 0.0885 0.7667  2 S 2.78-2.79, 1 Ga 2.79, 3 Se 2.91-2.92
Ho 0.5776 0.9115 0.2333  2 S 2.78-2.79, 1 Ga 2.79, 3 Se 2.91-2.92
Ho 0.7562 0.7562 0.7676  2 S 2.78, 1 Ga 2.78, 3 Se 2.92
Ho 0.9115 0.5776 0.2333  2 S 2.78-2.79, 1 Ga 2.79, 3 Se 2.91-2.92
Ga 0.5000 0.5000 0.0000  6 Ho 2.78-2.79
Se 0.0000 0.0000 0.5000  6 Ho 2.92
Se 0.3328 0.6672 0.5000  6 Ho 2.91-2.92
Se 0.6672 0.3328 0.5000  6 Ho 2.91-2.92
S 0.1666 0.8334 0.0000  6 Ho 2.78-2.79
S 0.8334 0.1666 0.0000  6 Ho 2.78-2.79

## Properties
Its symmetry is C2/m. The calculation puts the uncorrected formation energy at -1.6584 eV per atom.

A plane-wave DFT calculation with PBE-GGA was carried out for a relaxed structure of In2MoAs.

a = 3.7841 Å, b = 3.7779 Å, c = 5.5099 Å
α = 90.00°, β = 90.26°, γ = 90.00°
Closest atoms and distances in Å follow each position.
Fractional coordinates of all 4 atoms:
In 0.0008 0.0000 0.2466  2 In 2.72-2.79, 4 Mo 3.00, 4 As 3.01-3.02
In 0.9992 0.0000 0.7534  2 In 2.72-2.79, 4 Mo 3.00, 4 As 3.01-3.02
Mo 0.5000 0.5000 0.0000  2 As 2.75, 8 In 3.00
As 0.5000 0.5000 0.5000  2 Mo 2.75, 8 In 3.01-3.02

## Properties
Its symmetry is P2/m. The energy relative to the elements comes out at 35.5 kJ/mol of atoms.

Repeat the second record exactly.
A plane-wave DFT calculation with PBE-GGA was carried out for a relaxed structure of Ho6GaSe3S2.

a = 6.9250 Å, b = 6.9250 Å, c = 7.0467 Å
α = 99.43°, β = 99.43°, γ = 119.79°
Closest atoms and distances in Å follow each position.
Fractional coordinates of all 12 atoms:
Ho 0.0885 0.4224 0.7667  2 S 2.78-2.79, 1 Ga 2.79, 3 Se 2.91-2.92
Ho 0.2438 0.2438 0.2324  2 S 2.78, 1 Ga 2.78, 3 Se 2.92
Ho 0.4224 0.0885 0.7667  2 S 2.78-2.79, 1 Ga 2.79, 3 Se 2.91-2.92
Ho 0.5776 0.9115 0.2333  2 S 2.78-2.79, 1 Ga 2.79, 3 Se 2.91-2.92
Ho 0.7562 0.7562 0.7676  2 S 2.78, 1 Ga 2.78, 3 Se 2.92
Ho 0.9115 0.5776 0.2333  2 S 2.78-2.79, 1 Ga 2.79, 3 Se 2.91-2.92
Ga 0.5000 0.5000 0.0000  6 Ho 2.78-2.79
Se 0.0000 0.0000 0.5000  6 Ho 2.92
Se 0.3328 0.6672 0.5000  6 Ho 2.91-2.92
Se 0.6672 0.3328 0.5000  6 Ho 2.91-2.92
S 0.1666 0.8334 0.0000  6 Ho 2.78-2.79
S 0.8334 0.1666 0.0000  6 Ho 2.78-2.79

## Properties
Its symmetry is C2/m. The calculation puts the uncorrected formation energy at -1.6584 eV per atom.

Copy entry 2 word for word.
A plane-wave DFT calculation with PBE-GGA was carried out for a relaxed structure of Ho6GaSe3S2.

a = 6.9250 Å, b = 6.9250 Å, c = 7.0467 Å
α = 99.43°, β = 99.43°, γ = 119.79°
Closest atoms and distances in Å follow each position.
Fractional coordinates of all 12 atoms:
Ho 0.0885 0.4224 0.7667  2 S 2.78-2.79, 1 Ga 2.79, 3 Se 2.91-2.92
Ho 0.2438 0.2438 0.2324  2 S 2.78, 1 Ga 2.78, 3 Se 2.92
Ho 0.4224 0.0885 0.7667  2 S 2.78-2.79, 1 Ga 2.79, 3 Se 2.91-2.92
Ho 0.5776 0.9115 0.2333  2 S 2.78-2.79, 1 Ga 2.79, 3 Se 2.91-2.92
Ho 0.7562 0.7562 0.7676  2 S 2.78, 1 Ga 2.78, 3 Se 2.92
Ho 0.9115 0.5776 0.2333  2 S 2.78-2.79, 1 Ga 2.79, 3 Se 2.91-2.92
Ga 0.5000 0.5000 0.0000  6 Ho 2.78-2.79
Se 0.0000 0.0000 0.5000  6 Ho 2.92
Se 0.3328 0.6672 0.5000  6 Ho 2.91-2.92
Se 0.6672 0.3328 0.5000  6 Ho 2.91-2.92
S 0.1666 0.8334 0.0000  6 Ho 2.78-2.79
S 0.8334 0.1666 0.0000  6 Ho 2.78-2.79

## Properties
Its symmetry is C2/m. The calculation puts the uncorrected formation energy at -1.6584 eV per atom.